Entry from OQMD via LeMat-Bulk: crystalline NiHgBiPd at its relaxed geometry (PBE).

a b c (Å): 4.767 4.767 4.767
angles (deg): 60.00 60.00 60.00
Sites, in units of the cell vectors:
Ni  0.750  0.750  0.750
Pd  0.500  0.500  0.500
Hg  0.250  0.250  0.250
Bi  0.000  0.000  0.000

Calculated values
ΔE to the lowest computed polymorph   0.59 eV per formula unit
Magnetization   0.00 μB per atom

---

Entry from OQMD via LeMat-Bulk: crystalline Er3Lu3Te2Os at its relaxed geometry (PBE).

a b c (Å): 8.156 8.156 4.025
angles (deg): 90.00 90.00 120.00
Sites, in units of the cell vectors:
Er  0.613  0.000  0.500
Er  0.000  0.613  0.500
Os  0.000  0.000  0.500
Lu  0.000  0.237  0.000
Lu  0.237  0.000  0.000
Er  0.387  0.387  0.500
Te  0.667  0.333  0.000
Te  0.333  0.667  0.000
Lu  0.763  0.763  0.000

Calculated values
ΔE to the lowest computed polymorph   0.00 eV per formula unit
Magnetization   0.00 μB per atom

---

Entry from OQMD via LeMat-Bulk: crystalline Nd3Cu2Si4Ni2 at its relaxed geometry (PBE).

a b c (Å): 12.101 12.101 12.101
angles (deg): 160.40 160.33 27.91
Sites, in units of the cell vectors:
Nd  0.152  0.152  0.000
Si  0.702  0.702  0.000
Si  0.551  0.051  0.500
Cu  0.599  0.599  0.000
Si  0.449  0.949  0.500
Nd  0.000  0.500  0.500
Ni  0.751  0.251  0.500
Si  0.298  0.298  0.000
Ni  0.249  0.749  0.500
Nd  0.848  0.848  0.000
Cu  0.401  0.401  0.000

Calculated values
Magnetization   0.00 μB per atom
Uncorrected energy   -5.67 eV/atom

---

Entry from OQMD via LeMat-Bulk: crystalline TaSiNO at its relaxed geometry (PBE).

a b c (Å): 5.193 6.712 5.036
angles (deg): 90.00 90.00 90.00
Sites, in units of the cell vectors:
Si  0.097  0.125  0.958
N  0.591  0.909  0.602
N  0.909  0.909  0.102
O  0.411  0.721  0.134
Ta  0.054  0.573  0.008
Si  0.403  0.125  0.458
N  0.409  0.091  0.102
N  0.091  0.091  0.602
Ta  0.554  0.427  0.008
O  0.589  0.279  0.634
Si  0.903  0.875  0.458
Ta  0.946  0.427  0.508
O  0.089  0.721  0.634
Si  0.597  0.875  0.958
O  0.911  0.279  0.134
Ta  0.446  0.573  0.508

Calculated values
ΔE to the lowest computed polymorph   0.24 eV per formula unit
Magnetization   0.00 μB per atom

---

Entry from OQMD via LeMat-Bulk: crystalline LuAgSnTe3 at its relaxed geometry (PBE).

a b c (Å): 8.199 4.297 10.571
angles (deg): 90.00 106.46 90.00
Sites, in units of the cell vectors:
Ag  0.413  0.750  0.409
Sn  0.226  0.750  0.703
Sn  0.774  0.250  0.297
Te  0.795  0.750  0.538
Te  0.547  0.250  0.844
Ag  0.587  0.250  0.591
Te  0.453  0.750  0.156
Te  0.205  0.250  0.462
Te  0.075  0.250  0.869
Te  0.925  0.750  0.131
Lu  0.798  0.750  0.829
Lu  0.202  0.250  0.171

Calculated values
ΔE to the lowest computed polymorph   0.00 eV per formula unit
Magnetization   0.00 μB per atom

---

Entry from OQMD via LeMat-Bulk: crystalline YScFeAs at its relaxed geometry (PBE).

a b c (Å): 4.611 4.611 4.611
angles (deg): 60.00 60.00 60.00
Sites, in units of the cell vectors:
Y  0.500  0.500  0.500
Fe  0.750  0.750  0.750
As  0.000  0.000  0.000
Sc  0.250  0.250  0.250

Calculated values
ΔE to the lowest computed polymorph   0.00 eV per formula unit
Magnetization   0.10 μB per atom